V5BiO10: optimized geometry, PBE with a Hubbard U.

Properties
Its crystal system is tetragonal. Its density of states at the Fermi level is 1.90 states/eV/f.u. As for the raw total energy: -485.233 eV/cell.

```
64
Lattice="9.960 0.000 0.000 -4.980 9.166 -0.001 0.000 5.413 8.361" Properties=species:S:1:pos:R:3 pbc="T T T"
V 6.404 5.770 6.156
V 6.685 8.842 7.900
V 8.304 3.190 2.171
V 3.324 9.841 3.798
V -1.477 6.259 3.911
V 8.457 3.622 5.594
V 1.503 1.791 2.767
V 1.477 4.407 1.049
V 6.457 8.320 4.449
V -3.324 11.389 6.189
V 1.657 4.738 4.562
V -1.705 5.737 0.459
V 3.276 7.237 5.421
V 3.296 4.596 7.099
V -1.424 8.808 2.203
V 3.556 2.158 0.576
V 1.424 12.421 7.783
V 6.665 0.817 1.262
V 1.705 7.342 2.939
V 3.504 10.172 7.310
Bi 0.000 6.856 7.427
Bi 4.980 7.723 0.933
Bi 4.980 5.064 2.654
Bi 0.000 9.515 5.706
O 6.476 6.287 4.150
O 6.640 7.769 6.335
O 6.900 4.430 1.282
O 3.060 8.654 2.165
O 8.041 2.186 0.419
O 8.371 4.247 3.648
O 3.390 10.756 5.367
O 3.440 12.187 7.622
O 8.421 5.719 5.876
O 9.524 1.794 2.770
O -0.421 4.389 1.114
O 4.560 8.386 4.459
O 5.401 10.190 7.246
O 0.437 3.620 5.591
O 0.421 6.193 3.901
O -3.440 8.860 2.484
O 1.540 2.392 0.738
O -3.390 10.332 4.712
O 1.590 3.823 2.993
O 1.920 5.925 6.195
O -3.060 12.393 7.940
O -1.920 10.149 7.077
O 2.918 3.543 5.472
O 3.060 6.056 3.794
O -1.660 6.810 2.025
O 3.320 8.226 7.041
O 3.300 0.237 0.366
O 3.441 1.586 2.449
O -1.496 8.292 4.210
O 3.484 4.200 0.926
O 4.590 5.877 6.167
O -0.390 12.387 7.885
O 0.390 8.702 2.193
O 5.370 2.192 0.475
O 6.519 3.827 5.912
O 1.496 10.379 7.433
O 6.660 5.176 7.995
O 1.660 6.353 1.319
O 7.042 1.870 2.889
O 1.920 8.523 4.566
```